(1)
Compound: LaGa2Cu
Source: OQMD
Functional: GGA-PBE
Structure: optimized geometry

Cell lengths 9.181, 9.181, 4.289 Å; angles 90.00, 90.00, 152.84 degrees
Sites, in units of the cell vectors:
1 Cu 0.924 0.076 0.500
2 Cu 0.076 0.924 0.500
3 Ga 0.000 0.000 0.000
4 Ga 0.787 0.213 0.500
5 Ga 0.500 0.500 0.500
6 Ga 0.213 0.787 0.500
7 La 0.642 0.358 0.000
8 La 0.358 0.642 0.000

Computed properties:
Calculated volume, Å³/cell: 165.00
Space group: Cmmm (65)
Size of the total moment, μB/f.u.: 0.0
Calculated total energy, eV per atom: -4.197


(2)
Compound: Tb2CuAg3
Source: OQMD
Functional: GGA-PBE
Structure: optimized geometry

Cell lengths 3.706, 3.706, 9.179 Å; angles 90.00, 90.00, 90.00 degrees
Sites, in units of the cell vectors:
1 Ag 0.000 0.000 0.326
2 Ag 0.000 0.000 0.672
3 Ag 0.500 0.500 0.833
4 Cu 0.500 0.500 0.166
5 Tb 0.000 0.000 0.008
6 Tb 0.500 0.500 0.494

Computed properties:
Calculated volume, Å³/cell: 126.08
Space group: P4mm (99)
Size of the total moment, μB/f.u.: 0.0
Calculated formation energy, eV/atom: -0.271